Density functional theory data (PBE with a Hubbard U) for a relaxed NaMn2AsO8 crystal.

- magnetic moment (μB per formula unit) = 4.00
- volume (Å³/f.u.) = 140
- symmetry = No. 12
- theoretical density (g/cm³) = 4.0
- E (eV/atom) = -6.03

Unit cell a=4.763 b=4.763 c=6.628 alpha=78.49 beta=78.50 gamma=74.15
Each line ends with the local moment (μB).
Fractional positions:
1 O 0.244 0.244 0.956  -0.04
2 O 0.748 0.201 0.214  -0.11
3 O 0.252 0.799 0.786  -0.11
4 O 0.799 0.253 0.786  -0.11
5 O 0.201 0.747 0.214  -0.11
6 O 0.756 0.756 0.044  -0.04
7 O 0.663 0.663 0.474  -0.22
8 O 0.337 0.337 0.526  -0.22
9 Na 0.000 0.000 0.500  0.00
10 Mn 0.439 0.439 0.730  2.47
11 Mn 0.561 0.561 0.270  2.47
12 As 0.000 0.000 0.000  0.05